VASP calculation (PBE) on Ac2NiH4Pb2 after structural relaxation.

Cell lengths 6.2658, 6.2658, 6.2658 Å; angles 117.41, 117.41, 94.55 degrees
With the nearest neighbours (Å) after each atom.
Positions (direct):
Ac  0.2500  0.7500  0.5000  8 H 3.22, 4 Pb 3.32
Ac  0.7500  0.2500  0.5000  8 H 3.22, 4 Pb 3.32
Ni  0.0000  0.0000  0.0000  4 H 1.57
H  0.1705  0.1705  0.3410  1 Ni 1.57
H  0.1705  0.8295  0.0000  1 Ni 1.57
H  0.8295  0.1705  0.0000  1 Ni 1.57
H  0.8295  0.8295  0.6590  1 Ni 1.57
Pb  0.3272  0.3272  0.0000  1 Ni 2.78, 1 Pb 2.94
Pb  0.6728  0.6728  0.0000  1 Ni 2.78, 1 Pb 2.94

Space-group type: I4/mmm
Crystal system: tetragonal
Total magnetic moment, μB per atom: 0.000
DOS at the Fermi energy, states/eV/f.u.: 3.82
Total energy, eV per atom: -3.922